# 1
# SrIn2Pd6, optimized geometry, DFT PBE
# Calculated volume in Å³ per cell: 412.66
# E_form in eV per atom: -0.080
# Space group: Fd-3m, No. 227
# Magnetic moment in μB/f.u.: 0.00
data_SrIn2Pd6
_symmetry_space_group_name_H-M 'P 1'
_symmetry_Int_Tables_number 1
_symmetry_space_group_name_Hall 'P 1'
_cell_length_a 8.357
_cell_length_b 8.357
_cell_length_c 8.357
_cell_angle_alpha 60.00
_cell_angle_beta 60.00
_cell_angle_gamma 60.00
loop_
_atom_site_label
_atom_site_type_symbol
_atom_site_fract_x
_atom_site_fract_y
_atom_site_fract_z
Sr1 Sr 0.125 0.125 0.125
Sr2 Sr 0.875 0.875 0.875
In1 In 0.000 0.500 0.500
In2 In 0.500 0.000 0.500
In3 In 0.500 0.500 0.000
In4 In 0.500 0.500 0.500
Pd1 Pd 0.116 0.116 0.634
Pd2 Pd 0.116 0.634 0.116
Pd3 Pd 0.116 0.634 0.634
Pd4 Pd 0.366 0.366 0.884
Pd5 Pd 0.366 0.884 0.366
Pd6 Pd 0.366 0.884 0.884
Pd7 Pd 0.634 0.116 0.116
Pd8 Pd 0.634 0.116 0.634
Pd9 Pd 0.634 0.634 0.116
Pd10 Pd 0.884 0.366 0.366
Pd11 Pd 0.884 0.366 0.884
Pd12 Pd 0.884 0.884 0.366

# 2
# Mg2ZrNi2, optimized geometry, DFT PBE
# ΔE to the lowest computed polymorph in eV per atom: 0.000
# Calculated volume in Å³ per cell: 171.40
# E_form in eV per atom: -0.151
# Space group: P4/mbm, No. 127
# Magnetic moment in μB/f.u.: 0.00
data_Mg2ZrNi2
_symmetry_space_group_name_H-M 'P 1'
_symmetry_Int_Tables_number 1
_symmetry_space_group_name_Hall 'P 1'
_cell_length_a 6.585
_cell_length_b 6.585
_cell_length_c 3.953
_cell_angle_alpha 90.00
_cell_angle_beta 90.00
_cell_angle_gamma 90.00
loop_
_atom_site_label
_atom_site_type_symbol
_atom_site_fract_x
_atom_site_fract_y
_atom_site_fract_z
Mg1 Mg 0.166 0.334 0.000
Mg2 Mg 0.334 0.834 0.000
Mg3 Mg 0.666 0.166 0.000
Mg4 Mg 0.834 0.666 0.000
Zr1 Zr 0.000 0.000 0.500
Zr2 Zr 0.500 0.500 0.500
Ni1 Ni 0.127 0.627 0.500
Ni2 Ni 0.373 0.127 0.500
Ni3 Ni 0.627 0.873 0.500
Ni4 Ni 0.873 0.373 0.500

# 3
# NaAlGa3, optimized geometry, DFT PBE
# ΔE to the lowest computed polymorph in eV per atom: 0.000
# Calculated volume in Å³ per cell: 103.37
# E_form in eV per atom: -0.096
# Space group: I4mm, No. 107
# Magnetic moment in μB/f.u.: 0.00
data_NaAlGa3
_symmetry_space_group_name_H-M 'P 1'
_symmetry_Int_Tables_number 1
_symmetry_space_group_name_Hall 'P 1'
_cell_length_a 6.458
_cell_length_b 6.458
_cell_length_c 6.458
_cell_angle_alpha 141.55
_cell_angle_beta 141.55
_cell_angle_gamma 55.51
loop_
_atom_site_label
_atom_site_type_symbol
_atom_site_fract_x
_atom_site_fract_y
_atom_site_fract_z
Na1 Na 0.000 0.000 0.000
Al1 Al 0.618 0.618 0.000
Ga1 Ga 0.257 0.757 0.500
Ga2 Ga 0.397 0.397 0.000
Ga3 Ga 0.757 0.257 0.500

# 4
# Cs2Cd2Sb2H, optimized geometry, DFT PBE
# Calculated volume in Å³ per cell: 241.80
# Space group: C2/m, No. 12
# Magnetic moment in μB/f.u.: 0.00
# Raw total energy in eV per atom: -2.43
data_Cs2Cd2Sb2H
_symmetry_space_group_name_H-M 'P 1'
_symmetry_Int_Tables_number 1
_symmetry_space_group_name_Hall 'P 1'
_cell_length_a 7.171
_cell_length_b 7.171
_cell_length_c 9.061
_cell_angle_alpha 123.99
_cell_angle_beta 123.99
_cell_angle_gamma 40.23
loop_
_atom_site_label
_atom_site_type_symbol
_atom_site_fract_x
_atom_site_fract_y
_atom_site_fract_z
Cs1 Cs 0.059 0.059 0.321
Cs2 Cs 0.941 0.941 0.679
Cd1 Cd 0.327 0.327 0.923
Cd2 Cd 0.673 0.673 0.077
Sb1 Sb 0.308 0.308 0.233
Sb2 Sb 0.692 0.692 0.767
H1 H 0.500 0.500 0.000

# 5
# Ac6BiAs2S3, optimized geometry, DFT PBE
# Energy relative to the elements, uncorrected in kcal/mol of atoms: -38.1
# Calculated volume in Å³ per cell: 384.67
# Space group: C2/m, No. 12
# Magnetic moment in μB/f.u.: 0.00
data_Ac6BiAs2S3
_symmetry_space_group_name_H-M 'P 1'
_symmetry_Int_Tables_number 1
_symmetry_space_group_name_Hall 'P 1'
_cell_length_a 10.015
_cell_length_b 10.015
_cell_length_c 8.956
_cell_angle_alpha 102.13
_cell_angle_beta 102.13
_cell_angle_gamma 26.01
loop_
_atom_site_label
_atom_site_type_symbol
_atom_site_fract_x
_atom_site_fract_y
_atom_site_fract_z
Ac1 Ac 0.000 0.000 0.231
Ac2 Ac 0.000 0.000 0.769
Ac3 Ac 0.326 0.326 0.412
Ac4 Ac 0.333 0.333 0.917
Ac5 Ac 0.667 0.667 0.083
Ac6 Ac 0.674 0.674 0.588
Bi1 Bi 0.500 0.500 0.500
As1 As 0.168 0.168 0.834
As2 As 0.832 0.832 0.166
S1 S 0.165 0.165 0.332
S2 S 0.500 0.500 0.000
S3 S 0.835 0.835 0.668

# 6
# CeLuZnAu, optimized geometry, DFT PBE
# Calculated volume in Å³ per cell: 93.51
# E_form in eV per atom: -0.482
# Space group: F-43m, No. 216
# Magnetic moment in μB/f.u.: 0.63
data_CeLuZnAu
_symmetry_space_group_name_H-M 'P 1'
_symmetry_Int_Tables_number 1
_symmetry_space_group_name_Hall 'P 1'
_cell_length_a 5.095
_cell_length_b 5.095
_cell_length_c 5.095
_cell_angle_alpha 60.00
_cell_angle_beta 60.00
_cell_angle_gamma 60.00
loop_
_atom_site_label
_atom_site_type_symbol
_atom_site_fract_x
_atom_site_fract_y
_atom_site_fract_z
Ce1 Ce 0.000 0.000 0.000
Lu1 Lu 0.500 0.500 0.500
Zn1 Zn 0.250 0.250 0.250
Au1 Au 0.750 0.750 0.750

# 7
# Tb2TmPd3, optimized geometry, DFT PBE
# ΔE to the lowest computed polymorph in eV per atom: 0.000
# Calculated volume in Å³ per cell: 128.77
# E_form in eV per atom: -0.894
# Space group: Cmmm, No. 65
# Magnetic moment in μB/f.u.: 0.00
data_Tb2TmPd3
_symmetry_space_group_name_H-M 'P 1'
_symmetry_Int_Tables_number 1
_symmetry_space_group_name_Hall 'P 1'
_cell_length_a 7.924
_cell_length_b 7.924
_cell_length_c 3.426
_cell_angle_alpha 90.00
_cell_angle_beta 90.00
_cell_angle_gamma 143.23
loop_
_atom_site_label
_atom_site_type_symbol
_atom_site_fract_x
_atom_site_fract_y
_atom_site_fract_z
Tb1 Tb 0.166 0.834 0.000
Tb2 Tb 0.834 0.166 0.000
Tm1 Tm 0.500 0.500 0.000
Pd1 Pd 0.000 0.000 0.500
Pd2 Pd 0.339 0.661 0.500
Pd3 Pd 0.661 0.339 0.500

# 8
# NdErMg2, optimized geometry, DFT PBE
# ΔE to the lowest computed polymorph in eV per atom: 0.000
# Calculated volume in Å³ per cell: 111.67
# E_form in eV per atom: -0.095
# Space group: Fm-3m, No. 225
# Magnetic moment in μB/f.u.: 0.00
data_NdErMg2
_symmetry_space_group_name_H-M 'P 1'
_symmetry_Int_Tables_number 1
_symmetry_space_group_name_Hall 'P 1'
_cell_length_a 5.405
_cell_length_b 5.405
_cell_length_c 5.405
_cell_angle_alpha 60.00
_cell_angle_beta 60.00
_cell_angle_gamma 60.00
loop_
_atom_site_label
_atom_site_type_symbol
_atom_site_fract_x
_atom_site_fract_y
_atom_site_fract_z
Nd1 Nd 0.000 0.000 0.000
Er1 Er 0.500 0.500 0.500
Mg1 Mg 0.250 0.250 0.250
Mg2 Mg 0.750 0.750 0.750

# 9
# Ca4P2O, optimized geometry, DFT PBE
# Energy relative to the elements, uncorrected in kcal/mol of atoms: -33.4
# Calculated volume in Å³ per cell: 152.10
# Space group: C2/m, No. 12
# Magnetic moment in μB/f.u.: 0.00
data_Ca4P2O
_symmetry_space_group_name_H-M 'P 1'
_symmetry_Int_Tables_number 1
_symmetry_space_group_name_Hall 'P 1'
_cell_length_a 6.222
_cell_length_b 6.222
_cell_length_c 7.473
_cell_angle_alpha 115.97
_cell_angle_beta 115.97
_cell_angle_gamma 36.34
loop_
_atom_site_label
_atom_site_type_symbol
_atom_site_fract_x
_atom_site_fract_y
_atom_site_fract_z
Ca1 Ca 0.070 0.070 0.366
Ca2 Ca 0.345 0.345 0.936
Ca3 Ca 0.655 0.655 0.064
Ca4 Ca 0.930 0.930 0.634
P1 P 0.338 0.338 0.311
P2 P 0.662 0.662 0.689
O1 O 0.000 0.000 0.000

# 10
# AsClF, optimized geometry, DFT PBE
# ΔE to the lowest computed polymorph in eV per atom: 0.100
# Energy relative to the elements, uncorrected in kcal/mol of atoms: -24.9
# Calculated volume in Å³ per cell: 76.83
# Space group: P1, No. 1
# Magnetic moment in μB/f.u.: 0.00
data_AsClF
_symmetry_space_group_name_H-M 'P 1'
_symmetry_Int_Tables_number 1
_symmetry_space_group_name_Hall 'P 1'
_cell_length_a 3.171
_cell_length_b 4.559
_cell_length_c 5.684
_cell_angle_alpha 102.72
_cell_angle_beta 106.10
_cell_angle_gamma 90.30
loop_
_atom_site_label
_atom_site_type_symbol
_atom_site_fract_x
_atom_site_fract_y
_atom_site_fract_z
As1 As 0.000 0.000 0.000
Cl1 Cl 0.204 0.141 0.409
F1 F 0.984 0.596 0.974

# 11
# PuZrSc2S4, optimized geometry, DFT PBE
# Energy relative to the elements, uncorrected in kcal/mol of atoms: -40.0
# Calculated volume in Å³ per cell: 149.35
# Space group: P2/m, No. 10
# Magnetic moment in μB/f.u.: 5.48
data_PuZrSc2S4
_symmetry_space_group_name_H-M 'P 1'
_symmetry_Int_Tables_number 1
_symmetry_space_group_name_Hall 'P 1'
_cell_length_a 6.453
_cell_length_b 3.726
_cell_length_c 6.569
_cell_angle_alpha 90.00
_cell_angle_beta 108.97
_cell_angle_gamma 90.00
loop_
_atom_site_label
_atom_site_type_symbol
_atom_site_fract_x
_atom_site_fract_y
_atom_site_fract_z
Pu1 Pu 0.000 0.000 0.000
Zr1 Zr 0.500 0.500 0.000
Sc1 Sc 0.000 0.500 0.500
Sc2 Sc 0.500 0.000 0.500
S1 S 0.253 0.000 0.740
S2 S 0.261 0.500 0.264
S3 S 0.739 0.500 0.736
S4 S 0.747 0.000 0.260

# 12
# Rb2In3Hg9, optimized geometry, DFT PBE
# Calculated volume in Å³ per cell: 842.15
# E_form in eV per atom: -0.123
# Space group: C2/c, No. 15
# Magnetic moment in μB/f.u.: 0.00
data_Rb2In3Hg9
_symmetry_space_group_name_H-M 'P 1'
_symmetry_Int_Tables_number 1
_symmetry_space_group_name_Hall 'P 1'
_cell_length_a 9.268
_cell_length_b 9.268
_cell_length_c 12.772
_cell_angle_alpha 113.34
_cell_angle_beta 113.34
_cell_angle_gamma 59.63
loop_
_atom_site_label
_atom_site_type_symbol
_atom_site_fract_x
_atom_site_fract_y
_atom_site_fract_z
Rb1 Rb 0.083 0.254 0.249
Rb2 Rb 0.254 0.083 0.749
Rb3 Rb 0.746 0.917 0.251
Rb4 Rb 0.917 0.746 0.751
In1 In 0.000 0.500 0.000
In2 In 0.158 0.674 0.503
In3 In 0.326 0.842 0.997
In4 In 0.500 0.000 0.500
In5 In 0.674 0.158 0.003
In6 In 0.842 0.326 0.497
Hg1 Hg 0.027 0.856 0.076
Hg2 Hg 0.144 0.973 0.424
Hg3 Hg 0.192 0.359 0.575
Hg4 Hg 0.217 0.580 0.257
Hg5 Hg 0.317 0.482 0.955
Hg6 Hg 0.359 0.192 0.075
Hg7 Hg 0.380 0.620 0.750
Hg8 Hg 0.420 0.783 0.243
Hg9 Hg 0.482 0.317 0.455
Hg10 Hg 0.518 0.683 0.545
Hg11 Hg 0.580 0.217 0.757
Hg12 Hg 0.620 0.380 0.250
Hg13 Hg 0.641 0.808 0.925
Hg14 Hg 0.683 0.518 0.045
Hg15 Hg 0.783 0.420 0.743
Hg16 Hg 0.808 0.641 0.425
Hg17 Hg 0.856 0.027 0.576
Hg18 Hg 0.973 0.144 0.924

# 13
# PrGdHgOs, optimized geometry, DFT PBE
# Calculated volume in Å³ per cell: 96.16
# E_form in eV per atom: -0.146
# Space group: F-43m, No. 216
# Magnetic moment in μB/f.u.: 7.05
data_PrGdHgOs
_symmetry_space_group_name_H-M 'P 1'
_symmetry_Int_Tables_number 1
_symmetry_space_group_name_Hall 'P 1'
_cell_length_a 5.142
_cell_length_b 5.142
_cell_length_c 5.142
_cell_angle_alpha 60.00
_cell_angle_beta 60.00
_cell_angle_gamma 60.00
loop_
_atom_site_label
_atom_site_type_symbol
_atom_site_fract_x
_atom_site_fract_y
_atom_site_fract_z
Pr1 Pr 0.000 0.000 0.000
Gd1 Gd 0.500 0.500 0.500
Hg1 Hg 0.250 0.250 0.250
Os1 Os 0.750 0.750 0.750

# 14
# TaTcMo2, optimized geometry, DFT PBE
# ΔE to the lowest computed polymorph in eV per atom: 0.075
# Calculated volume in Å³ per cell: 64.18
# E_form in eV per atom: -0.103
# Space group: C2/m, No. 12
# Magnetic moment in μB/f.u.: 0.00
data_TaTcMo2
_symmetry_space_group_name_H-M 'P 1'
_symmetry_Int_Tables_number 1
_symmetry_space_group_name_Hall 'P 1'
_cell_length_a 5.248
_cell_length_b 5.248
_cell_length_c 2.788
_cell_angle_alpha 100.04
_cell_angle_beta 100.04
_cell_angle_gamma 117.45
loop_
_atom_site_label
_atom_site_type_symbol
_atom_site_fract_x
_atom_site_fract_y
_atom_site_fract_z
Ta1 Ta 0.000 0.000 0.000
Tc1 Tc 0.500 0.500 0.000
Mo1 Mo 0.000 0.500 0.500
Mo2 Mo 0.500 0.000 0.500

# 15
# ScZnTe2, optimized geometry, DFT PBE
# Energy relative to the elements, uncorrected in kcal/mol of atoms: -16.0
# Calculated volume in Å³ per cell: 103.98
# Space group: R-3m, No. 166
# Magnetic moment in μB/f.u.: 0.00
data_ScZnTe2
_symmetry_space_group_name_H-M 'P 1'
_symmetry_Int_Tables_number 1
_symmetry_space_group_name_Hall 'P 1'
_cell_length_a 7.619
_cell_length_b 7.619
_cell_length_c 7.619
_cell_angle_alpha 30.99
_cell_angle_beta 30.99
_cell_angle_gamma 30.99
loop_
_atom_site_label
_atom_site_type_symbol
_atom_site_fract_x
_atom_site_fract_y
_atom_site_fract_z
Sc1 Sc 0.000 0.000 0.000
Zn1 Zn 0.500 0.500 0.500
Te1 Te 0.251 0.251 0.251
Te2 Te 0.749 0.749 0.749

# 16
# ZrBiBr2, optimized geometry, DFT PBE
# ΔE to the lowest computed polymorph in eV per atom: 0.696
# Energy relative to the elements, uncorrected in kcal/mol of atoms: -0.6
# Calculated volume in Å³ per cell: 97.10
# Space group: Fm-3m, No. 225
# Magnetic moment in μB/f.u.: 0.00
data_ZrBiBr2
_symmetry_space_group_name_H-M 'P 1'
_symmetry_Int_Tables_number 1
_symmetry_space_group_name_Hall 'P 1'
_cell_length_a 5.159
_cell_length_b 5.159
_cell_length_c 5.159
_cell_angle_alpha 60.00
_cell_angle_beta 60.00
_cell_angle_gamma 60.00
loop_
_atom_site_label
_atom_site_type_symbol
_atom_site_fract_x
_atom_site_fract_y
_atom_site_fract_z
Zr1 Zr 0.000 0.000 0.000
Bi1 Bi 0.500 0.500 0.500
Br1 Br 0.250 0.250 0.250
Br2 Br 0.750 0.750 0.750

# 17
# Ac4SeS5, optimized geometry, DFT PBE
# ΔE to the lowest computed polymorph in eV per atom: 0.008
# Energy relative to the elements, uncorrected in kcal/mol of atoms: -48.1
# Calculated volume in Å³ per cell: 313.05
# Space group: C2/m, No. 12
# Magnetic moment in μB/f.u.: 0.00
data_Ac4SeS5
_symmetry_space_group_name_H-M 'P 1'
_symmetry_Int_Tables_number 1
_symmetry_space_group_name_Hall 'P 1'
_cell_length_a 9.424
_cell_length_b 9.424
_cell_length_c 7.490
_cell_angle_alpha 92.91
_cell_angle_beta 92.91
_cell_angle_gamma 28.12
loop_
_atom_site_label
_atom_site_type_symbol
_atom_site_fract_x
_atom_site_fract_y
_atom_site_fract_z
Ac1 Ac 0.051 0.051 0.242
Ac2 Ac 0.302 0.302 0.254
Ac3 Ac 0.698 0.698 0.746
Ac4 Ac 0.949 0.949 0.758
Se1 Se 0.500 0.500 0.500
S1 S 0.170 0.170 0.995
S2 S 0.175 0.175 0.491
S3 S 0.500 0.500 0.000
S4 S 0.825 0.825 0.509
S5 S 0.830 0.830 0.005

# 18
# Th2PaIn, optimized geometry, DFT PBE
# ΔE to the lowest computed polymorph in eV per atom: 0.156
# Calculated volume in Å³ per cell: 114.82
# E_form in eV per atom: 0.125
# Space group: Fm-3m, No. 225
# Magnetic moment in μB/f.u.: 0.00
data_Th2PaIn
_symmetry_space_group_name_H-M 'P 1'
_symmetry_Int_Tables_number 1
_symmetry_space_group_name_Hall 'P 1'
_cell_length_a 5.456
_cell_length_b 5.456
_cell_length_c 5.456
_cell_angle_alpha 60.00
_cell_angle_beta 60.00
_cell_angle_gamma 60.00
loop_
_atom_site_label
_atom_site_type_symbol
_atom_site_fract_x
_atom_site_fract_y
_atom_site_fract_z
Th1 Th 0.250 0.250 0.250
Th2 Th 0.750 0.750 0.750
Pa1 Pa 0.000 0.000 0.000
In1 In 0.500 0.500 0.500

# 19
# BeFe2Ir, optimized geometry, DFT PBE
# Calculated volume in Å³ per cell: 46.11
# E_form in eV per atom: -0.079
# Space group: P2/m, No. 10
# Magnetic moment in μB/f.u.: 3.90
data_BeFe2Ir
_symmetry_space_group_name_H-M 'P 1'
_symmetry_Int_Tables_number 1
_symmetry_space_group_name_Hall 'P 1'
_cell_length_a 2.597
_cell_length_b 3.685
_cell_length_c 4.830
_cell_angle_alpha 90.00
_cell_angle_beta 93.99
_cell_angle_gamma 90.00
loop_
_atom_site_label
_atom_site_type_symbol
_atom_site_fract_x
_atom_site_fract_y
_atom_site_fract_z
Be1 Be 0.000 0.000 0.000
Fe1 Fe 0.469 0.500 0.234
Fe2 Fe 0.531 0.500 0.766
Ir1 Ir 0.000 0.000 0.500

# 20
# BaAl3Ge, optimized geometry, DFT PBE
# ΔE to the lowest computed polymorph in eV per atom: 0.532
# Calculated volume in Å³ per cell: 138.31
# E_form in eV per atom: 0.255
# Space group: Pm-3m, No. 221
# Magnetic moment in μB/f.u.: 0.00
data_BaAl3Ge
_symmetry_space_group_name_H-M 'P 1'
_symmetry_Int_Tables_number 1
_symmetry_space_group_name_Hall 'P 1'
_cell_length_a 5.172
_cell_length_b 5.172
_cell_length_c 5.172
_cell_angle_alpha 90.00
_cell_angle_beta 90.00
_cell_angle_gamma 90.00
loop_
_atom_site_label
_atom_site_type_symbol
_atom_site_fract_x
_atom_site_fract_y
_atom_site_fract_z
Ba1 Ba 0.000 0.000 0.000
Al1 Al 0.000 0.500 0.500
Al2 Al 0.500 0.000 0.500
Al3 Al 0.500 0.500 0.000
Ge1 Ge 0.500 0.500 0.500